No. 1
Density functional theory data (PBEsol) for a relaxed Sc2NiAuSe crystal.

The structure in CIF format:
```
data_Sc2NiAuSe
_chemical_formula_sum 'Sc2 Ni1 Au1 Se1'
_symmetry_space_group_name_H-M 'P 4/m m m'
_symmetry_Int_Tables_number 123
_symmetry_space_group_name_Hall '-P 4 2'
_cell_length_a 4.878
_cell_length_b 4.878
_cell_length_c 4.722
_cell_angle_alpha 90.00
_cell_angle_beta 90.00
_cell_angle_gamma 90.00
loop_
_atom_site_label
_atom_site_fract_x
_atom_site_fract_y
_atom_site_fract_z
_atom_site_occupancy
Sc1 0.000 0.500 0.000 1
Ni1 0.000 0.000 0.500 1
Au1 0.500 0.500 0.500 1
Se1 0.500 0.500 0.000 1
```

Properties
Formation energy without anion corrections (kJ/mol of atoms): 18.4

---

No. 2
Density functional theory data (PBEsol) for a relaxed BaYRh2 crystal.

The structure in CIF format:
```
data_BaYRh2
_chemical_formula_sum 'Ba1 Y1 Rh2'
_symmetry_space_group_name_H-M 'P 4 m m'
_symmetry_Int_Tables_number 99
_cell_length_a 3.706
_cell_length_b 3.706
_cell_length_c 7.132
_cell_angle_alpha 90.00
_cell_angle_beta 90.00
_cell_angle_gamma 90.00
loop_
_symmetry_equiv_pos_as_xyz
'x,y,z'
'-y,x,z'
'-x,-y,z'
'y,-x,z'
'-x,y,z'
'y,x,z'
'x,-y,z'
'-y,-x,z'
loop_
_atom_site_label
_atom_site_fract_x
_atom_site_fract_y
_atom_site_fract_z
_atom_site_occupancy
Ba1 0.000 0.000 0.000 1
Y1 0.500 0.500 0.560 1
Rh1 0.000 0.000 0.419 1
Rh2 0.500 0.500 0.210 1
```

Properties
Energy of formation (meV/atom): 12

---

No. 3
Density functional theory data (PBEsol) for a relaxed AgSbRh crystal.

The structure in CIF format:
```
data_AgSbRh
_chemical_formula_sum 'Ag4 Sb4 Rh4'
_symmetry_space_group_name_H-M 'F -4 3 m'
_symmetry_Int_Tables_number 216
_symmetry_space_group_name_Hall 'F -4 2 3'
_cell_length_a 6.162
_cell_length_b 6.162
_cell_length_c 6.162
_cell_angle_alpha 90.00
_cell_angle_beta 90.00
_cell_angle_gamma 90.00
loop_
_atom_site_label
_atom_site_fract_x
_atom_site_fract_y
_atom_site_fract_z
_atom_site_occupancy
Ag1 0.000 0.000 0.000 1
Sb1 0.250 0.250 0.250 1
Rh1 0.000 0.000 0.500 1
```

Properties
Formation energy without anion corrections (kJ/mol of atoms): 7.4

---

No. 4
Density functional theory data (PBEsol) for a relaxed Mg2SbOs crystal.

The structure in CIF format:
```
data_Mg2SbOs
_chemical_formula_sum 'Mg8 Sb4 Os4'
_symmetry_space_group_name_H-M 'F -4 3 m'
_symmetry_Int_Tables_number 216
_symmetry_space_group_name_Hall 'F -4 2 3'
_cell_length_a 6.520
_cell_length_b 6.520
_cell_length_c 6.520
_cell_angle_alpha 90.00
_cell_angle_beta 90.00
_cell_angle_gamma 90.00
loop_
_atom_site_label
_atom_site_fract_x
_atom_site_fract_y
_atom_site_fract_z
_atom_site_occupancy
Mg1 0.000 0.000 0.000 1
Mg2 0.250 0.250 0.250 1
Sb1 0.000 0.000 0.500 1
Os1 0.250 0.250 0.750 1
```

Properties
Formation energy without anion corrections (kJ/mol of atoms): 17.9

---

No. 5
Density functional theory data (PBEsol) for a relaxed MnBiP2 crystal.

The structure in CIF format:
```
data_MnBiP2
_chemical_formula_sum 'Mn4 Bi4 P8'
_symmetry_space_group_name_H-M 'F m -3 m'
_symmetry_Int_Tables_number 225
_symmetry_space_group_name_Hall '-F 4 2 3'
_cell_length_a 6.676
_cell_length_b 6.676
_cell_length_c 6.676
_cell_angle_alpha 90.00
_cell_angle_beta 90.00
_cell_angle_gamma 90.00
loop_
_atom_site_label
_atom_site_fract_x
_atom_site_fract_y
_atom_site_fract_z
_atom_site_occupancy
Mn1 0.000 0.000 0.000 1
Bi1 0.000 0.000 0.500 1
P1 0.250 0.250 0.250 1
```

Properties
Energy of formation (meV/atom): 559

---

No. 6
Density functional theory data (PBEsol) for a relaxed AlZnRe crystal.

The structure in CIF format:
```
data_AlZnRe
_chemical_formula_sum 'Al2 Zn2 Re2'
_symmetry_space_group_name_H-M 'I 4 m m'
_symmetry_Int_Tables_number 107
_symmetry_space_group_name_Hall 'I 4 -2'
_cell_length_a 3.106
_cell_length_b 3.106
_cell_length_c 8.704
_cell_angle_alpha 90.00
_cell_angle_beta 90.00
_cell_angle_gamma 90.00
loop_
_atom_site_label
_atom_site_fract_x
_atom_site_fract_y
_atom_site_fract_z
_atom_site_occupancy
Al1 0.000 0.000 0.000 1
Zn1 0.000 0.000 0.326 1
Re1 0.000 0.000 0.661 1
```

Properties
Energy of formation (meV/atom): 131
E above lowest polymorph (meV/atom): 0

---

No. 7
Density functional theory data (PBEsol) for a relaxed TaFeSi4 crystal.

The structure in CIF format:
```
data_TaFeSi4
_chemical_formula_sum 'Ta4 Fe4 Si16'
_symmetry_space_group_name_H-M 'F -4 3 m'
_symmetry_Int_Tables_number 216
_symmetry_space_group_name_Hall 'F -4 2 3'
_cell_length_a 6.787
_cell_length_b 6.787
_cell_length_c 6.787
_cell_angle_alpha 90.00
_cell_angle_beta 90.00
_cell_angle_gamma 90.00
loop_
_atom_site_label
_atom_site_fract_x
_atom_site_fract_y
_atom_site_fract_z
_atom_site_occupancy
Ta1 0.000 0.000 0.000 1
Fe1 0.250 0.250 0.750 1
Si1 0.125 0.125 0.375 1
```

Properties
Formation energy without anion corrections (kJ/mol of atoms): 17.2

---

No. 8
Density functional theory data (PBEsol) for a relaxed Ba2LaReO6 crystal.

The structure in CIF format:
```
data_Ba2LaReO6
_chemical_formula_sum 'Ba8 La4 Re4 O24'
_symmetry_space_group_name_H-M 'F m -3 m'
_symmetry_Int_Tables_number 225
_symmetry_space_group_name_Hall '-F 4 2 3'
_cell_length_a 8.578
_cell_length_b 8.578
_cell_length_c 8.578
_cell_angle_alpha 90.00
_cell_angle_beta 90.00
_cell_angle_gamma 90.00
loop_
_atom_site_label
_atom_site_fract_x
_atom_site_fract_y
_atom_site_fract_z
_atom_site_occupancy
Ba1 0.250 0.250 0.250 1
La1 0.000 0.000 0.000 1
Re1 0.000 0.000 0.500 1
O1 0.000 0.000 0.272 1
```

Properties
Formation energy without anion corrections (kJ/mol of atoms): -247.8

---

No. 9
Density functional theory data (PBEsol) for a relaxed SiWBr2 crystal.

The structure in CIF format:
```
data_SiWBr2
_chemical_formula_sum 'Si2 W2 Br4'
_symmetry_space_group_name_H-M 'I -4 m 2'
_symmetry_Int_Tables_number 119
_symmetry_space_group_name_Hall 'I -4 -2'
_cell_length_a 4.295
_cell_length_b 4.295
_cell_length_c 7.613
_cell_angle_alpha 90.00
_cell_angle_beta 90.00
_cell_angle_gamma 90.00
loop_
_atom_site_label
_atom_site_fract_x
_atom_site_fract_y
_atom_site_fract_z
_atom_site_occupancy
Si1 0.000 0.000 0.000 1
W1 0.000 0.500 0.750 1
Br1 0.000 0.000 0.500 1
Br2 0.000 0.500 0.250 1
```

Properties
Formation energy without anion corrections (kJ/mol of atoms): 105.3
E above lowest polymorph (meV/atom): 998

---

No. 10
Density functional theory data (PBEsol) for a relaxed TeP2Cl crystal.

The structure in CIF format:
```
data_TeP2Cl
_chemical_formula_sum 'Te1 P2 Cl1'
_symmetry_space_group_name_H-M 'P 4/m m m'
_symmetry_Int_Tables_number 123
_symmetry_space_group_name_Hall '-P 4 2'
_cell_length_a 3.727
_cell_length_b 3.727
_cell_length_c 6.320
_cell_angle_alpha 90.00
_cell_angle_beta 90.00
_cell_angle_gamma 90.00
loop_
_atom_site_label
_atom_site_fract_x
_atom_site_fract_y
_atom_site_fract_z
_atom_site_occupancy
Te1 0.000 0.000 0.000 1
P1 0.500 0.500 0.175 1
Cl1 0.000 0.000 0.500 1
```

Properties
Formation energy without anion corrections (kJ/mol of atoms): 38.9
E above lowest polymorph (meV/atom): 0

---

No. 11
Density functional theory data (PBEsol) for a relaxed Cr2WSe crystal.

The structure in CIF format:
```
data_Cr2WSe
_chemical_formula_sum 'Cr4 W2 Se2'
_symmetry_space_group_name_H-M 'I m m m'
_symmetry_Int_Tables_number 71
_symmetry_space_group_name_Hall '-I 2 2'
_cell_length_a 2.978
_cell_length_b 4.219
_cell_length_c 8.366
_cell_angle_alpha 90.00
_cell_angle_beta 90.00
_cell_angle_gamma 90.00
loop_
_atom_site_label
_atom_site_fract_x
_atom_site_fract_y
_atom_site_fract_z
_atom_site_occupancy
Cr1 0.000 0.000 0.236 1
W1 0.000 0.500 0.000 1
Se1 0.000 0.500 0.500 1
```

Properties
Formation energy without anion corrections (kJ/mol of atoms): 36.9

---

No. 12
Density functional theory data (PBEsol) for a relaxed TaAl2Tc crystal.

The structure in CIF format:
```
data_TaAl2Tc
_chemical_formula_sum 'Ta1 Al2 Tc1'
_symmetry_space_group_name_H-M 'P 4 m m'
_symmetry_Int_Tables_number 99
_cell_length_a 3.207
_cell_length_b 3.207
_cell_length_c 5.922
_cell_angle_alpha 90.00
_cell_angle_beta 90.00
_cell_angle_gamma 90.00
loop_
_symmetry_equiv_pos_as_xyz
'x,y,z'
'-y,x,z'
'-x,-y,z'
'y,-x,z'
'-x,y,z'
'y,x,z'
'x,-y,z'
'-y,-x,z'
loop_
_atom_site_label
_atom_site_fract_x
_atom_site_fract_y
_atom_site_fract_z
_atom_site_occupancy
Ta1 0.000 0.000 0.000 1
Al1 0.000 0.000 0.476 1
Al2 0.500 0.500 0.726 1
Tc1 0.500 0.500 0.239 1
```

Properties
Energy of formation (meV/atom): -364
E above lowest polymorph (meV/atom): 0

---

Number 1: calculated total energy -26.19 eV/f.u.. Number 2: calculated total energy -25.20 eV/f.u.. Number 3: calculated total energy -15.78 eV/f.u.. Number 4: calculated total energy -19.47 eV/f.u.. Number 5: calculated total energy -23.39 eV/f.u.. Number 6: calculated total energy -18.61 eV/f.u.. Number 7: calculated total energy -43.43 eV/f.u.. Number 8: calculated total energy -80.15 eV/f.u.. Number 9: calculated total energy -18.93 eV/f.u.. Number 10: calculated total energy -15.51 eV/f.u.. Number 11: calculated total energy -36.61 eV/f.u.. Number 12: calculated total energy -33.46 eV/f.u..